SrAgSO | PBE-GGA | optimized geometry

Lattice parameters (Å, degrees): 5.9993 9.4559 6.0501 90.00 90.00 90.00
With the nearest neighbours (Å) after each atom.
Positions (direct):
Sr 0.0039 0.1727 0.0000  1 O 2.40
Sr 0.4961 0.1727 0.5000  1 O 2.40
Sr 0.5039 0.8273 0.0000  1 O 2.40
Sr 0.9961 0.8273 0.5000  1 O 2.40
Ag 0.0656 0.5945 0.9677  3 O 2.13-2.25
Ag 0.4344 0.5945 0.4677  3 O 2.13-2.25
Ag 0.5656 0.4055 0.9677  3 O 2.13-2.25
Ag 0.9344 0.4055 0.4677  3 O 2.13-2.25
S 0.0024 0.8530 0.0001  1 Ag 2.48
S 0.4976 0.8530 0.5001  1 Ag 2.48
S 0.5024 0.1470 0.0001  1 Ag 2.48
S 0.9976 0.1470 0.5001  1 Ag 2.48
O 0.0864 0.5896 0.6057  3 Ag 2.13-2.25
O 0.4136 0.5896 0.1057  3 Ag 2.13-2.25
O 0.5864 0.4104 0.6057  3 Ag 2.13-2.25
O 0.9136 0.4104 0.1057  3 Ag 2.13-2.25

total DFT energy (no corrections) = -4.45 eV per atom

***

SrAgSO | PBE-GGA | optimized geometry

Lattice parameters (Å, degrees): 6.0544 3.9924 14.1422 90.00 90.00 90.00
With the nearest neighbours (Å) after each atom.
Positions (direct):
Sr 0.2449 0.2500 0.1008  2 O 2.38
Sr 0.2551 0.7500 0.6008  2 O 2.38
Sr 0.7449 0.2500 0.3992  2 O 2.38
Sr 0.7551 0.7500 0.8992  2 O 2.38
Ag 0.2095 0.2500 0.8307  2 O 2.16-2.32
Ag 0.2905 0.7500 0.3307  2 O 2.16-2.32
Ag 0.7095 0.2500 0.6693  2 O 2.16-2.32
Ag 0.7905 0.7500 0.1693  2 O 2.16-2.32
S 0.2394 0.2500 0.4304  2 Ag 2.46
S 0.2606 0.7500 0.9304  2 Ag 2.46
S 0.7394 0.2500 0.0696  2 Ag 2.46
S 0.7606 0.7500 0.5696  2 Ag 2.46
O 0.1708 0.7500 0.1869  2 Ag 2.16-2.32, 2 Sr 2.38
O 0.3292 0.2500 0.6869  2 Ag 2.16-2.32, 2 Sr 2.38
O 0.6708 0.7500 0.3131  2 Ag 2.16-2.32, 2 Sr 2.38
O 0.8292 0.2500 0.8131  2 Ag 2.16-2.32, 2 Sr 2.38

total DFT energy (no corrections) = -4.52 eV per atom

***

SrAgSO | PBE-GGA | optimized geometry

Lattice parameters (Å, degrees): 3.6424 13.7774 6.0389 90.00 90.00 90.00
With the nearest neighbours (Å) after each atom.
Positions (direct):
Sr 0.0000 0.0792 0.2500  4 O 2.61
Sr 0.0000 0.9208 0.7500  4 O 2.61
Sr 0.5000 0.4208 0.7500  4 O 2.61
Sr 0.5000 0.5792 0.2500  4 O 2.61
Ag 0.0000 0.3733 0.2500  2 O 2.31, 2 S 2.40
Ag 0.0000 0.6267 0.7500  2 O 2.31, 2 S 2.40
Ag 0.5000 0.1267 0.7500  2 O 2.31, 2 S 2.40
Ag 0.5000 0.8733 0.2500  2 O 2.31, 2 S 2.40
S 0.0000 0.2397 0.7500  2 Ag 2.40
S 0.0000 0.7603 0.2500  2 Ag 2.40
S 0.5000 0.2603 0.2500  2 Ag 2.40
S 0.5000 0.7397 0.7500  2 Ag 2.40
O 0.0000 0.5000 0.0000  2 Ag 2.31
O 0.0000 0.5000 0.5000  2 Ag 2.31
O 0.5000 0.0000 0.0000  2 Ag 2.31
O 0.5000 0.0000 0.5000  2 Ag 2.31

total DFT energy (no corrections) = -4.52 eV per atom

***

SrAgSO | PBE-GGA | optimized geometry

Lattice parameters (Å, degrees): 6.2562 6.4499 8.9643 90.00 90.00 90.00
With the nearest neighbours (Å) after each atom.
Positions (direct):
Sr 0.0888 0.2382 0.1059  2 O 2.43-2.55
Sr 0.4112 0.7618 0.6059  2 O 2.43-2.55
Sr 0.5888 0.2618 0.8941  2 O 2.43-2.55
Sr 0.9112 0.7382 0.3941  2 O 2.43-2.55
Ag 0.0087 0.7318 0.9893  2 O 2.25-2.28, 2 S 2.45-2.52
Ag 0.4913 0.2682 0.4893  2 O 2.25-2.28, 2 S 2.45-2.52
Ag 0.5087 0.7682 0.0107  2 O 2.25-2.28, 2 S 2.45-2.52
Ag 0.9913 0.2318 0.5107  2 O 2.25-2.28, 2 S 2.45-2.52
S 0.2448 0.9775 0.8606  2 Ag 2.45-2.52
S 0.2552 0.0225 0.3606  2 Ag 2.45-2.52
S 0.7448 0.5225 0.1394  2 Ag 2.45-2.52
S 0.7552 0.4775 0.6394  2 Ag 2.45-2.52
O 0.2168 0.4981 0.4684  2 Ag 2.25-2.28, 1 Sr 2.43
O 0.2832 0.5019 0.9684  2 Ag 2.25-2.28, 1 Sr 2.43
O 0.7168 0.0019 0.5316  2 Ag 2.25-2.28, 1 Sr 2.43
O 0.7832 0.9981 0.0316  2 Ag 2.25-2.28, 1 Sr 2.43

total DFT energy (no corrections) = -4.44 eV per atom

***

SrAgSO | PBE-GGA | optimized geometry

Lattice parameters (Å, degrees): 7.0576 7.0600 12.6897 90.00 90.00 90.00
With the nearest neighbours (Å) after each atom.
Positions (direct):
Sr 0.2492 0.0058 0.2500  4 O 2.50-2.51
Sr 0.2492 0.4942 0.7500  4 O 2.50-2.51
Sr 0.2508 0.5058 0.2500  4 O 2.50-2.51
Sr 0.2508 0.9942 0.7500  4 O 2.50-2.51
Sr 0.7492 0.0058 0.2500  4 O 2.50-2.51
Sr 0.7492 0.4942 0.7500  4 O 2.50-2.51
Sr 0.7508 0.5058 0.2500  4 O 2.50-2.51
Sr 0.7508 0.9942 0.7500  4 O 2.50-2.51
Ag 0.0003 0.2476 0.5456  1 O 2.34, 4 S 2.56-2.57
Ag 0.0003 0.2524 0.0456  1 O 2.34, 4 S 2.56-2.57
Ag 0.9997 0.7476 0.9544  1 O 2.34, 4 S 2.56-2.57
Ag 0.9997 0.7524 0.4544  1 O 2.34, 4 S 2.56-2.57
Ag 0.5003 0.2476 0.9544  1 O 2.34, 4 S 2.56-2.57
Ag 0.5003 0.2524 0.4544  1 O 2.34, 4 S 2.56-2.57
Ag 0.4997 0.7476 0.5456  1 O 2.34, 4 S 2.56-2.57
Ag 0.4997 0.7524 0.0456  1 O 2.34, 4 S 2.56-2.57
S 0.2474 0.5007 0.5000  4 Ag 2.56-2.57
S 0.2474 0.9993 0.0000  4 Ag 2.56-2.57
S 0.2526 0.0007 0.5000  4 Ag 2.56-2.57
S 0.2526 0.4993 0.0000  4 Ag 2.56-2.57
S 0.7474 0.5007 0.0000  4 Ag 2.56-2.57
S 0.7474 0.9993 0.5000  4 Ag 2.56-2.57
S 0.7526 0.0007 0.0000  4 Ag 2.56-2.57
S 0.7526 0.4993 0.5000  4 Ag 2.56-2.57
O 0.0002 0.2441 0.7301  1 Ag 2.34, 4 Sr 2.50-2.51
O 0.0002 0.2559 0.2301  1 Ag 2.34, 4 Sr 2.50-2.51
O 0.9998 0.7441 0.7699  1 Ag 2.34, 4 Sr 2.50-2.51
O 0.9998 0.7559 0.2699  1 Ag 2.34, 4 Sr 2.50-2.51
O 0.5002 0.2441 0.7699  1 Ag 2.34, 4 Sr 2.50-2.51
O 0.5002 0.2559 0.2699  1 Ag 2.34, 4 Sr 2.50-2.51
O 0.4998 0.7441 0.7301  1 Ag 2.34, 4 Sr 2.50-2.51
O 0.4998 0.7559 0.2301  1 Ag 2.34, 4 Sr 2.50-2.51

total DFT energy (no corrections) = -4.65 eV per atom

***

SrAgSO | PBE-GGA | optimized geometry

Lattice parameters (Å, degrees): 6.4533 6.4802 7.3982 90.00 90.00 90.00
With the nearest neighbours (Å) after each atom.
Positions (direct):
Sr 0.1974 0.0606 0.4540  3 O 2.54-2.61
Sr 0.3026 0.9394 0.9540  3 O 2.54-2.61
Sr 0.6974 0.4394 0.5460  3 O 2.54-2.61
Sr 0.8026 0.5606 0.0460  3 O 2.54-2.61
Ag 0.2213 0.5588 0.2800  2 O 2.20-2.27
Ag 0.2787 0.4412 0.7800  2 O 2.20-2.27
Ag 0.7213 0.9412 0.7200  2 O 2.20-2.27
Ag 0.7787 0.0588 0.2200  2 O 2.20-2.27
S 0.0326 0.7182 0.6979  2 Ag 2.47-2.48
S 0.4674 0.2818 0.1979  2 Ag 2.47-2.48
S 0.5326 0.7818 0.3021  2 Ag 2.47-2.48
S 0.9674 0.2182 0.8021  2 Ag 2.47-2.48
O 0.0381 0.8408 0.1934  2 Ag 2.20-2.27
O 0.4619 0.1592 0.6934  2 Ag 2.20-2.27
O 0.5381 0.6592 0.8066  2 Ag 2.20-2.27
O 0.9619 0.3408 0.3066  2 Ag 2.20-2.27

total DFT energy (no corrections) = -4.60 eV per atom

***

SrAgSO | PBE-GGA | optimized geometry

Lattice parameters (Å, degrees): 3.6700 12.7966 7.2403 90.00 90.00 90.00
With the nearest neighbours (Å) after each atom.
Positions (direct):
Sr 0.0000 0.0655 0.0000  2 O 2.31-2.35
Sr 0.0000 0.9345 0.5000  2 O 2.31-2.35
Sr 0.5000 0.4345 0.5000  2 O 2.31-2.35
Sr 0.5000 0.5655 0.0000  2 O 2.31-2.35
Ag 0.0000 0.3105 0.1668  2 O 2.28, 2 S 2.52
Ag 0.0000 0.6895 0.6668  2 O 2.28, 2 S 2.52
Ag 0.5000 0.1895 0.6668  2 O 2.28, 2 S 2.52
Ag 0.5000 0.8105 0.1668  2 O 2.28, 2 S 2.52
S 0.0000 0.3168 0.7471  2 Ag 2.52
S 0.0000 0.6832 0.2471  2 Ag 2.52
S 0.5000 0.1832 0.2471  2 Ag 2.52
S 0.5000 0.8168 0.7471  2 Ag 2.52
O 0.0000 0.0846 0.6776  2 Ag 2.28, 2 Sr 2.31-2.35
O 0.0000 0.9154 0.1776  2 Ag 2.28, 2 Sr 2.31-2.35
O 0.5000 0.4154 0.1776  2 Ag 2.28, 2 Sr 2.31-2.35
O 0.5000 0.5846 0.6776  2 Ag 2.28, 2 Sr 2.31-2.35

total DFT energy (no corrections) = -4.40 eV per atom

***

SrAgSO | PBE-GGA | optimized geometry

Lattice parameters (Å, degrees): 6.5886 8.0525 13.6163 90.00 90.00 90.00
With the nearest neighbours (Å) after each atom.
Positions (direct):
Sr 0.1027 0.2288 0.1235  2 O 2.37-2.40
Sr 0.1027 0.2712 0.6235  2 O 2.37-2.40
Sr 0.3973 0.7288 0.1235  2 O 2.37-2.40
Sr 0.3973 0.7712 0.6235  2 O 2.37-2.40
Sr 0.6027 0.2288 0.3765  2 O 2.37-2.40
Sr 0.6027 0.2712 0.8765  2 O 2.37-2.40
Sr 0.8973 0.7288 0.3765  2 O 2.37-2.40
Sr 0.8973 0.7712 0.8765  2 O 2.37-2.40
Ag 0.2450 0.5221 0.7894  2 O 2.15-2.16
Ag 0.2450 0.9779 0.2894  2 O 2.15-2.16
Ag 0.2550 0.0221 0.7894  2 O 2.15-2.16
Ag 0.2550 0.4779 0.2894  2 O 2.15-2.16
Ag 0.7450 0.5221 0.7106  2 O 2.15-2.16
Ag 0.7450 0.9779 0.2106  2 O 2.15-2.16
Ag 0.7550 0.0221 0.7106  2 O 2.15-2.16
Ag 0.7550 0.4779 0.2106  2 O 2.15-2.16
S 0.1577 0.5116 0.9846  1 S 2.13
S 0.1577 0.9884 0.4846  1 S 2.13
S 0.3423 0.0116 0.9846  1 S 2.13
S 0.3423 0.4884 0.4846  1 S 2.13
S 0.6577 0.5116 0.5154  1 S 2.13
S 0.6577 0.9884 0.0154  1 S 2.13
S 0.8423 0.0116 0.5154  1 S 2.13
S 0.8423 0.4884 0.0154  1 S 2.13
O 0.1591 0.7268 0.2542  2 Ag 2.15-2.16, 2 Sr 2.37-2.40
O 0.1591 0.7732 0.7542  2 Ag 2.15-2.16, 2 Sr 2.37-2.40
O 0.3409 0.2268 0.2542  2 Ag 2.15-2.16, 2 Sr 2.37-2.40
O 0.3409 0.2732 0.7542  2 Ag 2.15-2.16, 2 Sr 2.37-2.40
O 0.6591 0.7268 0.2458  2 Ag 2.15-2.16, 2 Sr 2.37-2.40
O 0.6591 0.7732 0.7458  2 Ag 2.15-2.16, 2 Sr 2.37-2.40
O 0.8409 0.2268 0.2458  2 Ag 2.15-2.16, 2 Sr 2.37-2.40
O 0.8409 0.2732 0.7458  2 Ag 2.15-2.16, 2 Sr 2.37-2.40

total DFT energy (no corrections) = -4.47 eV per atom

***

SrAgSO | PBE-GGA | optimized geometry

Lattice parameters (Å, degrees): 4.0471 4.0471 11.7765 90.00 90.00 120.00
With the nearest neighbours (Å) after each atom.
Positions (direct):
Sr 0.3333 0.6667 0.0000  3 O 2.41
Sr 0.6667 0.3333 0.5000  3 O 2.41
Ag 0.0000 0.0000 0.2376  1 O 2.20
Ag 0.0000 0.0000 0.7376  1 O 2.20
S 0.3333 0.6667 0.3058  3 Ag 2.47
S 0.6667 0.3333 0.8058  3 Ag 2.47
O 0.0000 0.0000 0.0510  1 Ag 2.20, 3 Sr 2.41
O 0.0000 0.0000 0.5510  1 Ag 2.20, 3 Sr 2.41

total DFT energy (no corrections) = -4.62 eV per atom

***

Q: Among the records above, which one has the highest total DFT energy (no corrections)?
A: number 7

***

Q: What is the total DFT energy (no corrections) in the sixth record?
A: -4.60 eV per atom